# 1
Below is a geometry-optimized TeRuI3 structure, with properties calculated at the PBE level.

Its electronic total energy is -0.17264 Ry/atom. The calculation puts the total magnetic moment at 3.14 μB/f.u. For the formation energy from raw total energies, the calculation gives 24.55 kcal/mol of atoms.

The space group is Pm-3m (No. 221) and the conventional cell measures 6.049, 6.049 and 6.049 Å, with angles of 90.00, 90.00 and 90.00 degrees. The distinct sites, in fractional coordinates, are Te at (0.000, 0.000, 0.000), Ru at (0.500, 0.500, 0.500) and I at (0.000, 0.000, 0.500).

# 2
Below is a geometry-optimized ScCuW2 structure, with properties calculated at the PBE level.

Its electronic total energy is -0.63142 Ry/atom. The calculation puts the total magnetic moment at 0.00 μB/f.u. As for the energy relative to the elements: 493 meV/atom.

The space group is R-3m (No. 166, hexagonal axes) and the conventional cell measures 2.8566, 2.8566 and 28.1192 Å, with angles of 90.00, 90.00 and 120.00 degrees. The distinct sites, in fractional coordinates, are Sc at (0.0000, 0.0000, 0.0000), Cu at (0.0000, 0.0000, 0.5000) and W at (0.0000, 0.0000, 0.2444).

# 3
Below is a geometry-optimized TlReCl2 structure, with properties calculated at the PBE level.

Its electronic total energy is -0.33001 Ry/atom. The calculation puts the total magnetic moment at 0.00 μB/f.u. For the formation energy from raw total energies, the calculation gives 3.16 kcal/mol of atoms.

The space group is R-3m (No. 166, hexagonal axes) and the conventional cell measures 3.1069, 3.1069 and 30.3670 Å, with angles of 90.00, 90.00 and 120.00 degrees. The distinct sites, in fractional coordinates, are Tl at (0.0000, 0.0000, 0.0000), Re at (0.0000, 0.0000, 0.5000) and Cl at (0.0000, 0.0000, 0.4258).

# 4
Below is a geometry-optimized TaFe2Re2 structure, with properties calculated at the PBE level.

Its electronic total energy is -0.77916 Ry/atom. The calculation puts the total magnetic moment at 0.00 μB/f.u. As for the energy relative to the elements: 134 meV/atom.

The space group is P4/mbm (No. 127) and the conventional cell measures 7.273, 7.273 and 2.665 Å, with angles of 90.00, 90.00 and 90.00 degrees. The distinct sites, in fractional coordinates, are Ta at (0.000, 0.000, 0.000), Fe at (0.171, 0.329, 0.500) and Re at (0.126, 0.626, 0.000).

# 5
Below is a geometry-optimized Tb2PmEr3Te6 structure, with properties calculated at the PBE level.

Its electronic total energy is -0.37910 Ry/atom. The calculation puts the total magnetic moment at 0.00 μB/f.u. For the formation energy from raw total energies, the calculation gives -29.49 kcal/mol of atoms.

The space group is C2/m (No. 12) and the conventional cell measures 19.075, 4.330 and 8.786 Å, with angles of 90.00, 104.12 and 90.00 degrees. The distinct sites, in fractional coordinates, are Tb at (0.165, 0.000, 0.329), Pm at (0.000, 0.500, 0.000), Er at (0.000, 0.500, 0.500), Er at (0.164, 0.000, 0.832), Te at (0.001, 0.000, 0.742), Te at (0.167, 0.500, 0.585) and Te at (0.171, 0.500, 0.081).

# 6
Below is a geometry-optimized In3C5 structure, with properties calculated at the PBE level.

Its electronic total energy is -0.32563 Ry/atom. The calculation puts the total magnetic moment at 0.00 μB/f.u. As for the energy relative to the elements: 2361 meV/atom.

The space group is P4/mmm (No. 123) and the conventional cell measures 2.807, 2.807 and 12.837 Å, with angles of 90.00, 90.00 and 90.00 degrees. The distinct sites, in fractional coordinates, are In at (0.000, 0.000, 0.000), In at (0.500, 0.500, 0.381), C at (0.000, 0.000, 0.178), C at (0.000, 0.000, 0.500) and C at (0.500, 0.500, 0.206).

# 7
Below is a geometry-optimized Cs2TlBr structure, with properties calculated at the PBE level.

Its electronic total energy is -0.14736 Ry/atom. The calculation puts the total magnetic moment at 2.00 μB/f.u. For the formation energy from raw total energies, the calculation gives -13.11 kcal/mol of atoms.

The space group is Fm-3m (No. 225) and the conventional cell measures 9.303, 9.303 and 9.303 Å, with angles of 90.00, 90.00 and 90.00 degrees. The distinct sites, in fractional coordinates, are Cs at (0.250, 0.250, 0.250), Tl at (0.000, 0.000, 0.000) and Br at (0.000, 0.000, 0.500).

# 8
Below is a geometry-optimized CoAs2PBr structure, with properties calculated at the PBE level.

Its electronic total energy is -0.26504 Ry/atom. The calculation puts the total magnetic moment at 2.89 μB/f.u. For the formation energy from raw total energies, the calculation gives 25.17 kcal/mol of atoms.

The space group is P4/mmm (No. 123) and the conventional cell measures 4.751, 4.751 and 5.064 Å, with angles of 90.00, 90.00 and 90.00 degrees. The distinct sites, in fractional coordinates, are Co at (0.000, 0.000, 0.000), As at (0.000, 0.500, 0.500), P at (0.500, 0.500, 0.500) and Br at (0.500, 0.500, 0.000).

# 9
Below is a geometry-optimized PaAg2Cl8 structure, with properties calculated at the PBE level.

Its electronic total energy is -0.28137 Ry/atom. The calculation puts the total magnetic moment at 0.22 μB/f.u. For the formation energy from raw total energies, the calculation gives -25.45 kcal/mol of atoms.

The space group is C2/m (No. 12) and the conventional cell measures 11.190, 11.128 and 5.888 Å, with angles of 90.00, 92.88 and 90.00 degrees. The distinct sites, in fractional coordinates, are Pa at (0.000, 0.000, 0.000), Ag at (0.225, 0.500, 0.268), Cl at (0.010, 0.500, 0.252), Cl at (0.107, 0.166, 0.783) and Cl at (0.183, 0.000, 0.276).

# 10
Below is a geometry-optimized PuIn2SnTe4 structure, with properties calculated at the PBE level.

Its electronic total energy is -0.36817 Ry/atom. The calculation puts the total magnetic moment at 4.83 μB/f.u. For the formation energy from raw total energies, the calculation gives -10.65 kcal/mol of atoms.

The space group is P2/m (No. 10) and the conventional cell measures 7.876, 4.477 and 8.062 Å, with angles of 90.00, 108.90 and 90.00 degrees. The distinct sites, in fractional coordinates, are Pu at (0.000, 0.000, 0.000), In at (0.000, 0.500, 0.500), In at (0.500, 0.000, 0.500), Sn at (0.500, 0.500, 0.000), Te at (0.236, 0.500, 0.231) and Te at (0.243, 0.000, 0.760).

# 11
Below is a geometry-optimized Cs7Fe4S8 structure, with properties calculated at the PBE level.

Its electronic total energy is -0.34496 Ry/atom. The calculation puts the total magnetic moment at 16.81 μB/f.u. For the formation energy from raw total energies, the calculation gives -19.82 kcal/mol of atoms.

The space group is C2/c (No. 15) and the conventional cell measures 19.294, 8.668 and 17.053 Å, with angles of 90.00, 118.00 and 90.00 degrees. The distinct sites, in fractional coordinates, are Cs at (0.000, 0.231, 0.250), Cs at (0.005, 0.250, 0.489), Cs at (0.237, 0.237, 0.110), Cs at (0.241, 0.249, 0.361), Fe at (0.058, 0.155, 0.722), Fe at (0.059, 0.382, 0.839), S at (0.077, 0.423, 0.710), S at (0.079, 0.114, 0.870), S at (0.132, 0.005, 0.684) and S at (0.139, 0.470, 0.452).

# 12
Below is a geometry-optimized Nb2Zn2Pb structure, with properties calculated at the PBE level.

Its electronic total energy is -0.36608 Ry/atom. The calculation puts the total magnetic moment at 0.00 μB/f.u. As for the energy relative to the elements: 298 meV/atom.

The space group is P4/mbm (No. 127) and the conventional cell measures 6.873, 6.873 and 3.819 Å, with angles of 90.00, 90.00 and 90.00 degrees. The distinct sites, in fractional coordinates, are Nb at (0.174, 0.326, 0.000), Zn at (0.121, 0.621, 0.500) and Pb at (0.000, 0.000, 0.500).